Density functional theory data (PBE-GGA) for crystalline YMgSc at its relaxed geometry.

```
YMgSc
1.0
5.2895 0.0000 0.0000
-2.6447 4.5808 0.0000
0.0000 0.0000 3.3025
Y Mg Sc
1 1 1
Direct
0.3333 0.6667 0.6876
0.0000 0.0000 0.0544
0.6667 0.3333 0.2580
```

Computed properties:
As for the density of states at the Fermi level: 4.4 states/eV/cell. The total energy is -14.22 eV/cell.